The following is a PBE calculation of a geometry-optimized Dy6CdRh2 structure, from Alexandria via LeMat-Bulk. Values from VASP.

Quantum ESPRESSO input file:
```
&SYSTEM
  ibrav = 0, nat = 18, ntyp = 3
/
ATOMIC_SPECIES
Dy 162.50 Dy.upf
Cd 112.41 Cd.upf
Rh 102.91 Rh.upf
ATOMIC_POSITIONS angstrom
Dy 4.6842 2.8801 -2.7231
Dy 2.6829 1.7343 0.0000
Dy 6.6855 1.7343 0.0000
Dy 1.8080 4.7856 -1.7936
Dy 2.8762 0.0000 3.4074
Dy 0.0000 1.9055 2.4779
Dy 4.6842 2.8801 2.7231
Dy 1.8080 4.7856 1.7936
Dy 2.8762 0.0000 6.9946
Dy -2.0013 3.0513 5.2010
Dy 2.0013 3.0513 5.2010
Dy 0.0000 1.9055 7.9241
Cd 0.0000 0.0000 0.0000
Cd 0.0000 0.0000 5.2010
Rh 4.6842 0.0000 1.3697
Rh 0.0000 3.1880 0.0000
Rh 0.0000 6.3832 0.0000
Rh 0.0000 4.7856 3.8313
CELL_PARAMETERS angstrom
-4.6842 4.7856 5.2010
4.6842 -4.7856 5.2010
4.6842 4.7856 -5.2010
```

Summary:
Its symmetry is Immm, No. 71. The density of states at the Fermi level is 0.94 states/eV per atom. Its total moment is 0.00 μB/cell. The calculated volume comes out at 233.18 Å³/f.u. Its uncorrected energy is -5.329 eV per atom. Its crystal system is orthorhombic.